A geometry-optimized LiTa2Cd structure, computed with GGA-PBEsol.

Cell: 2.8066 2.8066 9.4845 Å, 90.00 90.00 105.66°
Sites, in units of the cell vectors:
Cd  0.0000  0.0000  0.4977
Li  0.5000  0.5000  0.2542
Ta  0.0000  0.0000  0.9903
Ta  0.5000  0.5000  0.7578

Mass density in kg/m3: 11109
DFT formation energy in meV per atom: 114